# 1
Entry from OQMD via LeMat-Bulk: a relaxed Y3Ho3NiTe2 crystal (PBE-GGA). Values from VASP.

Geometry as Quantum ESPRESSO input:
```
&SYSTEM
  ibrav = 0, nat = 9, ntyp = 4
/
ATOMIC_SPECIES
Y 88.91 Y.upf
Te 127.60 Te.upf
Ho 164.93 Ho.upf
Ni 58.69 Ni.upf
CELL_PARAMETERS angstrom
-2.8812 0.0655 7.8738
6.8700 -4.4095 -1.9138
2.2152 3.1107 0.7847
ATOMIC_POSITIONS crystal
Y 0.4022 0.0000 0.0000
Y 0.0000 0.4022 0.0000
Y 0.5978 0.5978 0.0000
Te 0.3333 0.6667 0.5000
Te 0.6667 0.3333 0.5000
Ho 0.0000 0.7619 0.5000
Ho 0.2381 0.2381 0.5000
Ho 0.7619 0.0000 0.5000
Ni 0.0000 0.0000 0.0000
```

## Properties
The energy above the most stable polymorph in this dataset comes out at 0.000 eV/atom. As for the crystal system: hexagonal.

=====

# 2
Entry from OQMD via LeMat-Bulk: a relaxed Sr2ErReO6 crystal (PBE-GGA). Values from VASP.

Geometry as Quantum ESPRESSO input:
```
&SYSTEM
  ibrav = 0, nat = 10, ntyp = 4
/
ATOMIC_SPECIES
Sr 87.62 Sr.upf
Er 167.26 Er.upf
O 16.00 O.upf
Re 186.21 Re.upf
CELL_PARAMETERS angstrom
0.0000 4.1057 4.1057
4.1057 0.0000 4.1057
4.1057 4.1057 0.0000
ATOMIC_POSITIONS crystal
Sr 0.7500 0.7500 0.7500
Sr 0.2500 0.2500 0.2500
Er 0.5000 0.5000 0.5000
O 0.2373 0.2373 0.7627
O 0.7627 0.7627 0.2373
O 0.2373 0.7627 0.7627
O 0.7627 0.2373 0.2373
O 0.7627 0.2373 0.7627
O 0.2373 0.7627 0.2373
Re 0.0000 0.0000 0.0000
```

## Properties
The energy above the most stable polymorph in this dataset comes out at 0.032 eV/atom. As for the crystal system: cubic.

=====

# 3
Entry from OQMD via LeMat-Bulk: a relaxed ZrBe2Cu2 crystal (PBE-GGA). Values from VASP.

Geometry as Quantum ESPRESSO input:
```
&SYSTEM
  ibrav = 0, nat = 5, ntyp = 3
/
ATOMIC_SPECIES
Be 9.01 Be.upf
Zr 91.22 Zr.upf
Cu 63.55 Cu.upf
CELL_PARAMETERS angstrom
-3.4283 3.1504 2.8274
-5.4216 -0.5204 -0.0925
4.5475 -2.9399 0.5917
ATOMIC_POSITIONS crystal
Be 0.3905 0.3905 0.0000
Be 0.6095 0.6095 0.0000
Zr 0.0000 0.0000 0.0000
Cu 0.2500 0.7500 0.5000
Cu 0.7500 0.2500 0.5000
```

## Properties
As for the crystal system: tetragonal.

=====

# 4
Entry from OQMD via LeMat-Bulk: a relaxed NaInPd2 crystal (PBE-GGA). Values from VASP.

Geometry as Quantum ESPRESSO input:
```
&SYSTEM
  ibrav = 0, nat = 4, ntyp = 3
/
ATOMIC_SPECIES
Na 22.99 Na.upf
In 114.82 In.upf
Pd 106.42 Pd.upf
CELL_PARAMETERS angstrom
4.3347 0.0000 0.0000
0.0000 4.3347 0.0000
0.0000 0.0000 3.7008
ATOMIC_POSITIONS crystal
Na 0.5000 0.5000 0.0000
In 0.0000 0.0000 0.0000
Pd 0.0000 0.5000 0.5000
Pd 0.5000 0.0000 0.5000
```

## Properties
As for the crystal system: tetragonal.

=====

# 5
Entry from OQMD via LeMat-Bulk: a relaxed TmMgCuSeS2 crystal (PBE-GGA). Values from VASP.

Geometry as Quantum ESPRESSO input:
```
&SYSTEM
  ibrav = 0, nat = 12, ntyp = 5
/
ATOMIC_SPECIES
Cu 63.55 Cu.upf
S 32.06 S.upf
Se 78.96 Se.upf
Mg 24.30 Mg.upf
Tm 168.93 Tm.upf
CELL_PARAMETERS angstrom
-2.8325 0.4998 5.8343
-0.4281 -2.2486 -6.0887
4.5132 -8.8435 2.9487
ATOMIC_POSITIONS crystal
Cu 0.0208 0.9792 0.2500
Cu 0.9792 0.0208 0.7500
S 0.1402 0.8598 0.4192
S 0.8598 0.1402 0.9192
S 0.1402 0.8598 0.0808
S 0.8598 0.1402 0.5808
Se 0.3902 0.6098 0.2500
Se 0.6098 0.3902 0.7500
Mg 0.2820 0.7180 0.7500
Mg 0.7180 0.2820 0.2500
Tm 0.5000 0.5000 0.5000
Tm 0.5000 0.5000 0.0000
```

## Properties
As for the crystal system: orthorhombic.

=====

# 6
Entry from OQMD via LeMat-Bulk: a relaxed YTlCuTc crystal (PBE-GGA). Values from VASP.

Geometry as Quantum ESPRESSO input:
```
&SYSTEM
  ibrav = 0, nat = 4, ntyp = 4
/
ATOMIC_SPECIES
Tl 204.38 Tl.upf
Tc 98.00 Tc.upf
Cu 63.55 Cu.upf
Y 88.91 Y.upf
CELL_PARAMETERS angstrom
0.0000 3.3954 3.3954
3.3954 0.0000 3.3954
3.3954 3.3954 0.0000
ATOMIC_POSITIONS crystal
Tl 0.0000 0.0000 0.0000
Tc 0.5000 0.5000 0.5000
Cu 0.7500 0.7500 0.7500
Y 0.2500 0.2500 0.2500
```

## Properties
The energy above the most stable polymorph in this dataset comes out at 0.196 eV/atom. As for the crystal system: cubic.

=====

# 7
Entry from OQMD via LeMat-Bulk: a relaxed Gd2TmMg3Tl2Zn crystal (PBE-GGA). Values from VASP.

Geometry as Quantum ESPRESSO input:
```
&SYSTEM
  ibrav = 0, nat = 9, ntyp = 5
/
ATOMIC_SPECIES
Mg 24.30 Mg.upf
Tl 204.38 Tl.upf
Tm 168.93 Tm.upf
Zn 65.41 Zn.upf
Gd 157.25 Gd.upf
CELL_PARAMETERS angstrom
-1.7975 1.9021 3.7464
-0.4363 -6.7342 3.2098
6.1955 4.0800 0.9010
ATOMIC_POSITIONS crystal
Mg 0.5000 0.7642 0.9999
Mg 0.5000 0.9999 0.7642
Mg 0.5000 0.2341 0.2341
Tl 0.5000 0.6659 0.3368
Tl 0.5000 0.3368 0.6659
Tm 0.0000 0.5874 0.5874
Zn 0.0000 0.9949 0.9949
Gd 0.0000 0.0015 0.4154
Gd 0.0000 0.4154 0.0015
```

## Properties
As for the crystal system: orthorhombic.

=====

# 8
Entry from OQMD via LeMat-Bulk: a relaxed HfScCuBi crystal (PBE-GGA). Values from VASP.

Geometry as Quantum ESPRESSO input:
```
&SYSTEM
  ibrav = 0, nat = 4, ntyp = 4
/
ATOMIC_SPECIES
Cu 63.55 Cu.upf
Sc 44.96 Sc.upf
Hf 178.49 Hf.upf
Bi 208.98 Bi.upf
CELL_PARAMETERS angstrom
-0.0809 -1.3280 4.7737
0.0387 3.4696 3.5381
-4.0591 0.8034 2.7270
ATOMIC_POSITIONS crystal
Cu 0.7500 0.7500 0.7500
Sc 0.2500 0.2500 0.2500
Hf 0.5000 0.5000 0.5000
Bi 0.0000 0.0000 0.0000
```

## Properties
The energy above the most stable polymorph in this dataset comes out at 0.000 eV/atom. As for the crystal system: cubic.

=====

# 9
Entry from OQMD via LeMat-Bulk: a relaxed BaHgPO crystal (PBE-GGA). Values from VASP.

Geometry as Quantum ESPRESSO input:
```
&SYSTEM
  ibrav = 0, nat = 8, ntyp = 4
/
ATOMIC_SPECIES
Hg 200.59 Hg.upf
Ba 137.33 Ba.upf
P 30.97 P.upf
O 16.00 O.upf
CELL_PARAMETERS angstrom
-3.5359 1.9968 -0.6486
-3.8384 -5.9645 2.5628
0.2430 2.2483 5.5965
ATOMIC_POSITIONS crystal
Hg 0.5000 0.7625 0.4925
Hg 0.5000 0.2375 0.9925
Ba 0.0000 0.3646 0.4971
Ba 0.0000 0.6354 0.9971
P 0.0000 0.9490 0.5122
P 0.0000 0.0510 0.0122
O 0.5000 0.5078 0.2522
O 0.5000 0.4922 0.7522
```

## Properties
The energy above the most stable polymorph in this dataset comes out at 0.000 eV/atom. As for the crystal system: orthorhombic.

=====

# 10
Entry from OQMD via LeMat-Bulk: a relaxed FeSiPdPt crystal (PBE-GGA). Values from VASP.

Geometry as Quantum ESPRESSO input:
```
&SYSTEM
  ibrav = 0, nat = 4, ntyp = 4
/
ATOMIC_SPECIES
Pt 195.08 Pt.upf
Fe 55.84 Fe.upf
Si 28.09 Si.upf
Pd 106.42 Pd.upf
CELL_PARAMETERS angstrom
-0.9425 -4.1763 -0.2976
-0.4207 -2.3636 3.5573
-3.8726 -1.4159 1.1900
ATOMIC_POSITIONS crystal
Pt 0.2500 0.2500 0.2500
Fe 0.7500 0.7500 0.7500
Si 0.0000 0.0000 0.0000
Pd 0.5000 0.5000 0.5000
```

## Properties
The energy above the most stable polymorph in this dataset comes out at 0.000 eV/atom. As for the crystal system: cubic.

=====

# 11
Entry from OQMD via LeMat-Bulk: a relaxed LiGaMoIr crystal (PBE-GGA). Values from VASP.

Geometry as Quantum ESPRESSO input:
```
&SYSTEM
  ibrav = 0, nat = 4, ntyp = 4
/
ATOMIC_SPECIES
Li 6.94 Li.upf
Ir 192.22 Ir.upf
Mo 95.94 Mo.upf
Ga 69.72 Ga.upf
CELL_PARAMETERS angstrom
-3.5266 1.3775 2.0308
-3.1318 1.9406 -2.2102
-3.7524 -2.0000 -0.6149
ATOMIC_POSITIONS crystal
Li 0.7500 0.7500 0.7500
Ir 0.2500 0.2500 0.2500
Mo 0.5000 0.5000 0.5000
Ga 0.0000 0.0000 0.0000
```

## Properties
The energy above the most stable polymorph in this dataset comes out at 0.000 eV/atom. As for the crystal system: cubic.

=====

# 12
Entry from OQMD via LeMat-Bulk: a relaxed LiZnCuRe crystal (PBE-GGA). Values from VASP.

Geometry as Quantum ESPRESSO input:
```
&SYSTEM
  ibrav = 0, nat = 4, ntyp = 4
/
ATOMIC_SPECIES
Li 6.94 Li.upf
Re 186.21 Re.upf
Cu 63.55 Cu.upf
Zn 65.41 Zn.upf
CELL_PARAMETERS angstrom
0.0000 2.9718 2.9718
2.9718 0.0000 2.9718
2.9718 2.9718 0.0000
ATOMIC_POSITIONS crystal
Li 0.5000 0.5000 0.5000
Re 0.2500 0.2500 0.2500
Cu 0.7500 0.7500 0.7500
Zn 0.0000 0.0000 0.0000
```

## Properties
The energy above the most stable polymorph in this dataset comes out at 0.042 eV/atom. As for the crystal system: cubic.

=====

# 13
Entry from OQMD via LeMat-Bulk: a relaxed LiCuPdSe3 crystal (PBE-GGA). Values from VASP.

Geometry as Quantum ESPRESSO input:
```
&SYSTEM
  ibrav = 0, nat = 12, ntyp = 4
/
ATOMIC_SPECIES
Se 78.96 Se.upf
Li 6.94 Li.upf
Pd 106.42 Pd.upf
Cu 63.55 Cu.upf
CELL_PARAMETERS angstrom
6.0121 -1.8661 0.0000
6.0121 1.8661 0.0000
0.0000 0.0000 9.8859
ATOMIC_POSITIONS crystal
Se 0.8552 0.8552 0.5378
Se 0.4191 0.4191 0.2500
Se 0.1448 0.1448 0.4622
Se 0.8552 0.8552 0.9622
Se 0.5809 0.5809 0.7500
Se 0.1448 0.1448 0.0378
Li 0.7413 0.7413 0.2500
Li 0.2588 0.2588 0.7500
Pd 0.5000 0.5000 0.0000
Pd 0.5000 0.5000 0.5000
Cu 0.9520 0.9520 0.7500
Cu 0.0480 0.0480 0.2500
```

## Properties
As for the crystal system: orthorhombic.

=====

Calculated values (eV/atom) of total energy for the records, taken in order: -5.718; -7.614; -4.828; -3.958; -4.825; -5.243; -3.032; -5.685; -4.053; -6.441; -6.425; -4.284; -3.931.